Here is crystalline LiSm3S4 at its relaxed geometry from Alexandria. Energies are from GGA-PBE.

It has space group Pm-3m (No. 221), with a = 5.624 Å, b = 5.624 Å, c = 5.624 Å, α = 90.00°, β = 90.00° and γ = 90.00°. Symmetry generates all atoms from Li at (0.000, 0.000, 0.000), Sm at (0.000, 0.500, 0.500), S at (0.000, 0.000, 0.500) and S at (0.500, 0.500, 0.500).

As for the polymorph energy (0 for the lowest one): 0.0 meV/atom. The magnetization comes out at 0.00 μB/f.u. The uncorrected formation energy comes out at -1.95 eV/atom.

Here is crystalline Mo2C at its relaxed geometry from Alexandria. Energies are from GGA-PBE.

It has space group P-62m (No. 189), with a = 6.3883 Å, b = 6.3883 Å, c = 3.0455 Å, α = 90.00°, β = 90.00° and γ = 120.00°. Symmetry generates all atoms from Mo at (0.0000, 0.2526, 0.0000), Mo at (0.0000, 0.5909, 0.5000), C at (0.0000, 0.0000, 0.5000) and C at (0.3333, 0.6667, 0.0000).

The magnetization comes out at 0.00 μB/f.u. The calculation puts the formation energy at 354 meV/atom.

Here is crystalline ErZr2ScN4 at its relaxed geometry from Alexandria. Energies are from GGA-PBE.

It has space group P2/m (No. 10), with a = 5.674 Å, b = 3.279 Å, c = 5.711 Å, α = 90.00°, β = 109.35° and γ = 90.00°. Symmetry generates all atoms from Er at (0.000, 0.000, 0.000), Zr at (0.000, 0.500, 0.500), Zr at (0.500, 0.000, 0.500), Sc at (0.500, 0.500, 0.000), N at (0.255, 0.000, 0.747) and N at (0.258, 0.500, 0.258).

The magnetization comes out at 0.00 μB/f.u. The uncorrected formation energy comes out at -1.78 eV/atom.

Here is crystalline PmTh2Ni at its relaxed geometry from Alexandria. Energies are from GGA-PBE.

It has space group Pnma (No. 62), with a = 7.078 Å, b = 9.953 Å, c = 6.260 Å, α = 90.00°, β = 90.00° and γ = 90.00°. Symmetry generates all atoms from Pm at (0.045, 0.250, 0.156), Th at (0.185, 0.064, 0.653) and Ni at (0.102, 0.750, 0.383).

As for the polymorph energy (0 for the lowest one): 17.7 meV/atom. The magnetization comes out at 0.00 μB/f.u. The calculation puts the formation energy at -183 meV/atom.

Here is crystalline DyZr2Ni at its relaxed geometry from Alexandria. Energies are from GGA-PBE.

It has space group P4/mmm (No. 123), with a = 3.301 Å, b = 3.301 Å, c = 7.822 Å, α = 90.00°, β = 90.00° and γ = 90.00°. Symmetry generates all atoms from Dy at (0.000, 0.000, 0.000), Zr at (0.500, 0.500, 0.302) and Ni at (0.000, 0.000, 0.500).

As for the polymorph energy (0 for the lowest one): 0.0 meV/atom. The magnetization comes out at 0.00 μB/f.u. The calculation puts the formation energy at -75 meV/atom.

Here is crystalline HfTiAg3 at its relaxed geometry from Alexandria. Energies are from GGA-PBE.

It has space group Pm-3m (No. 221), with a = 4.837 Å, b = 4.837 Å, c = 4.837 Å, α = 90.00°, β = 90.00° and γ = 90.00°. Symmetry generates all atoms from Hf at (0.000, 0.000, 0.000), Ti at (0.500, 0.500, 0.500) and Ag at (0.000, 0.500, 0.500).

As for the polymorph energy (0 for the lowest one): 0.0 meV/atom. The magnetization comes out at 0.65 μB/f.u. The calculation puts the formation energy at 1111 meV/atom.